## SrMnAlO4 (PBE with a Hubbard U)

Data for a relaxed structure of SrMnAlO4.

The calculation puts the density of states at the Fermi level at 0.282 states/eV/cell. Its total energy is -6.983 eV/atom. Its density is 4.03 g/cm³. Its magnetization is 0.571 μB per atom. As for the crystal system: monoclinic.

The space group is P2_1/m (No. 11) and the conventional cell measures 5.420, 5.627 and 6.573 Å, with angles of 90.00, 106.29 and 90.00 degrees. The asymmetric unit holds Sr at (0.248, 0.250, 0.447), Mn at (0.295, 0.250, 0.960), Al at (0.230, 0.750, 0.155), O at (0.012, 0.750, 0.313), O at (0.014, 0.250, 0.085) and O at (0.461, 0.517, 0.201).